[1]
# AlIn2Te PBE relaxed
# Total magnetic moment   0.00 μB/f.u.
# Formation energy from raw total energies   0.14 eV per atom
# Energy above the most stable polymorph in this dataset   0.71 eV per formula unit
# Total energy   -11.82 eV/cell
data_AlIn2Te
_chemical_formula_sum 'Al1 In2 Te1'
_space_group_name_H-M_alt 'P 1'
_space_group_IT_number 1
_cell_length_a 3.137
_cell_length_b 3.137
_cell_length_c 10.716
_cell_angle_alpha 90.00
_cell_angle_beta 90.00
_cell_angle_gamma 90.00
loop_
_space_group_symop_operation_xyz
'x,y,z'
loop_
_atom_site_label
_atom_site_type_symbol
_atom_site_fract_x
_atom_site_fract_y
_atom_site_fract_z
In1 In 0.000 0.000 0.532
Te1 Te 0.500 0.500 0.250
In2 In 0.000 0.000 0.968
Al1 Al 0.500 0.500 0.750

***

[2]
# VZn2Ga PBE relaxed
# Total magnetic moment   0.00 μB/f.u.
# Energy relative to the elements   -0.13 eV per atom
# Total energy   -15.20 eV/cell
data_VZn2Ga
_chemical_formula_sum 'V1 Zn2 Ga1'
_space_group_name_H-M_alt 'P 1'
_space_group_IT_number 1
_cell_length_a 3.933
_cell_length_b 3.791
_cell_length_c 3.791
_cell_angle_alpha 90.00
_cell_angle_beta 90.00
_cell_angle_gamma 90.00
loop_
_space_group_symop_operation_xyz
'x,y,z'
loop_
_atom_site_label
_atom_site_type_symbol
_atom_site_fract_x
_atom_site_fract_y
_atom_site_fract_z
Zn1 Zn 0.000 0.500 0.000
Ga1 Ga 0.500 0.000 0.000
V1 V 0.500 0.500 0.500
Zn2 Zn 0.000 0.000 0.500

***

[3]
# BaAlSeBr2 PBE relaxed
# Total magnetic moment   1.01 μB/f.u.
# Formation energy from raw total energies   -0.57 eV per atom
# Energy above the most stable polymorph in this dataset   3.30 eV per formula unit
# Total energy   -15.37 eV/cell
data_BaAlSeBr2
_chemical_formula_sum 'Ba1 Al1 Se1 Br2'
_space_group_name_H-M_alt 'P 1'
_space_group_IT_number 1
_cell_length_a 6.253
_cell_length_b 6.253
_cell_length_c 6.350
_cell_angle_alpha 90.00
_cell_angle_beta 90.00
_cell_angle_gamma 90.00
loop_
_space_group_symop_operation_xyz
'x,y,z'
loop_
_atom_site_label
_atom_site_type_symbol
_atom_site_fract_x
_atom_site_fract_y
_atom_site_fract_z
Ba1 Ba 0.000 0.000 0.000
Br1 Br 0.000 0.500 0.000
Al1 Al 0.500 0.500 0.500
Se1 Se 0.000 0.000 0.500
Br2 Br 0.500 0.000 0.000

***

[4]
# ScAu2Cl PBE relaxed
# Total magnetic moment   0.00 μB/f.u.
# Formation energy from raw total energies   -0.55 eV per atom
# Energy above the most stable polymorph in this dataset   1.13 eV per formula unit
# Total energy   -16.93 eV/cell
data_ScAu2Cl
_chemical_formula_sum 'Sc1 Au2 Cl1'
_space_group_name_H-M_alt 'P 1'
_space_group_IT_number 1
_cell_length_a 3.541
_cell_length_b 4.134
_cell_length_c 5.424
_cell_angle_alpha 90.00
_cell_angle_beta 90.00
_cell_angle_gamma 90.00
loop_
_space_group_symop_operation_xyz
'x,y,z'
loop_
_atom_site_label
_atom_site_type_symbol
_atom_site_fract_x
_atom_site_fract_y
_atom_site_fract_z
Au1 Au 0.500 0.500 0.000
Au2 Au 0.000 0.000 0.000
Sc1 Sc 0.000 0.500 0.500
Cl1 Cl 0.500 0.000 0.500

***

[5]
# In3SnS PBE relaxed
# Total magnetic moment   0.00 μB/f.u.
# Formation energy from raw total energies   0.47 eV per atom
# Energy above the most stable polymorph in this dataset   1.20 eV per formula unit
# Total energy   -14.00 eV/cell
data_In3SnS
_chemical_formula_sum 'In3 Sn1 S1'
_space_group_name_H-M_alt 'P 1'
_space_group_IT_number 1
_cell_length_a 5.653
_cell_length_b 5.653
_cell_length_c 5.653
_cell_angle_alpha 90.00
_cell_angle_beta 90.00
_cell_angle_gamma 90.00
loop_
_space_group_symop_operation_xyz
'x,y,z'
loop_
_atom_site_label
_atom_site_type_symbol
_atom_site_fract_x
_atom_site_fract_y
_atom_site_fract_z
In1 In 0.000 0.500 0.000
Sn1 Sn 0.000 0.000 0.000
In2 In 0.500 0.000 0.000
In3 In 0.000 0.000 0.500
S1 S 0.500 0.500 0.500

***

[6]
# YRu2Se PBE relaxed
# Total magnetic moment   0.00 μB/f.u.
# Formation energy from raw total energies   -0.12 eV per atom
# Total energy   -28.97 eV/cell
data_YRu2Se
_chemical_formula_sum 'Y1 Ru2 Se1'
_space_group_name_H-M_alt 'P 1'
_space_group_IT_number 1
_cell_length_a 3.105
_cell_length_b 3.868
_cell_length_c 6.067
_cell_angle_alpha 90.00
_cell_angle_beta 90.00
_cell_angle_gamma 90.00
loop_
_space_group_symop_operation_xyz
'x,y,z'
loop_
_atom_site_label
_atom_site_type_symbol
_atom_site_fract_x
_atom_site_fract_y
_atom_site_fract_z
Y1 Y 0.500 0.500 0.751
Ru1 Ru 0.000 0.000 0.059
Ru2 Ru 0.500 0.500 0.216
Se1 Se 0.000 0.000 0.475

***

[7]
# Pm2Dy3ThS6 PBE relaxed
# Total magnetic moment   0.00 μB/f.u.
# Formation energy from raw total energies   -1.97 eV per atom
# Total energy   -79.19 eV/cell
data_Pm2Dy3ThS6
_chemical_formula_sum 'Pm2 Dy3 Th1 S6'
_space_group_name_H-M_alt 'P 1'
_space_group_IT_number 1
_cell_length_a 3.955
_cell_length_b 7.982
_cell_length_c 8.911
_cell_angle_alpha 103.94
_cell_angle_beta 102.82
_cell_angle_gamma 90.00
loop_
_space_group_symop_operation_xyz
'x,y,z'
loop_
_atom_site_label
_atom_site_type_symbol
_atom_site_fract_x
_atom_site_fract_y
_atom_site_fract_z
S1 S 0.330 0.923 0.659
S2 S 0.670 0.077 0.341
S3 S 0.335 0.410 0.670
Dy1 Dy 0.166 0.834 0.332
Dy2 Dy 0.834 0.166 0.668
S4 S 0.003 0.741 0.007
Th1 Th 0.500 0.000 0.000
S5 S 0.997 0.259 0.993
S6 S 0.665 0.590 0.330
Pm1 Pm 0.835 0.670 0.670
Pm2 Pm 0.165 0.330 0.330
Dy3 Dy 0.500 0.500 0.000

***

[8]
# LaMgFe2 PBE relaxed
# Total magnetic moment   3.55 μB/f.u.
# Energy relative to the elements   0.78 eV per atom
# Total energy   -40.64 eV/cell
data_LaMgFe2
_chemical_formula_sum 'La2 Mg2 Fe4'
_space_group_name_H-M_alt 'P 1'
_space_group_IT_number 1
_cell_length_a 4.370
_cell_length_b 4.370
_cell_length_c 9.521
_cell_angle_alpha 76.73
_cell_angle_beta 76.73
_cell_angle_gamma 90.00
loop_
_space_group_symop_operation_xyz
'x,y,z'
loop_
_atom_site_label
_atom_site_type_symbol
_atom_site_fract_x
_atom_site_fract_y
_atom_site_fract_z
La1 La 0.000 0.000 0.000
Fe1 Fe 0.375 0.283 0.750
Fe2 Fe 0.875 0.967 0.750
La2 La 0.750 0.250 0.500
Fe3 Fe 0.717 0.125 0.250
Fe4 Fe 0.033 0.625 0.250
Mg1 Mg 0.250 0.750 0.500
Mg2 Mg 0.500 0.500 0.000

***

[9]
# CsSr3B PBE relaxed
# Total magnetic moment   0.12 μB/f.u.
# Energy relative to the elements   1.89 eV per atom
# Energy above the most stable polymorph in this dataset   7.28 eV per formula unit
# Total energy   -3.12 eV/cell
data_CsSr3B
_chemical_formula_sum 'Cs1 Sr3 B1'
_space_group_name_H-M_alt 'P 1'
_space_group_IT_number 1
_cell_length_a 6.188
_cell_length_b 6.188
_cell_length_c 6.188
_cell_angle_alpha 90.00
_cell_angle_beta 90.00
_cell_angle_gamma 90.00
loop_
_space_group_symop_operation_xyz
'x,y,z'
loop_
_atom_site_label
_atom_site_type_symbol
_atom_site_fract_x
_atom_site_fract_y
_atom_site_fract_z
Sr1 Sr 0.500 0.000 0.000
B1 B 0.500 0.500 0.500
Sr2 Sr 0.000 0.000 0.500
Cs1 Cs 0.000 0.000 0.000
Sr3 Sr 0.000 0.500 0.000

***

[10]
# ZrAlTc2 PBE relaxed
# Total magnetic moment   0.00 μB/f.u.
# Energy relative to the elements   -0.18 eV per atom
# Total energy   -33.76 eV/cell
data_ZrAlTc2
_chemical_formula_sum 'Zr1 Al1 Tc2'
_space_group_name_H-M_alt 'P 1'
_space_group_IT_number 1
_cell_length_a 4.843
_cell_length_b 4.843
_cell_length_c 4.766
_cell_angle_alpha 70.18
_cell_angle_beta 70.18
_cell_angle_gamma 39.42
loop_
_space_group_symop_operation_xyz
'x,y,z'
loop_
_atom_site_label
_atom_site_type_symbol
_atom_site_fract_x
_atom_site_fract_y
_atom_site_fract_z
Al1 Al 0.250 0.250 0.250
Zr1 Zr 0.750 0.750 0.750
Tc1 Tc 0.994 0.994 0.033
Tc2 Tc 0.506 0.506 0.467

***

[11]
# La2SiAsPt6 PBE relaxed
# Total magnetic moment   0.00 μB/f.u.
# Formation energy from raw total energies   -0.99 eV per atom
# Total energy   -132.14 eV/cell
data_La2SiAsPt6
_chemical_formula_sum 'La4 Si2 As2 Pt12'
_space_group_name_H-M_alt 'P 1'
_space_group_IT_number 1
_cell_length_a 5.586
_cell_length_b 8.540
_cell_length_c 8.534
_cell_angle_alpha 90.00
_cell_angle_beta 90.00
_cell_angle_gamma 90.00
loop_
_space_group_symop_operation_xyz
'x,y,z'
loop_
_atom_site_label
_atom_site_type_symbol
_atom_site_fract_x
_atom_site_fract_y
_atom_site_fract_z
Pt1 Pt 0.752 0.014 0.500
La1 La 0.000 0.270 0.248
La2 La 0.500 0.730 0.252
Pt2 Pt 0.500 0.118 0.754
As1 As 0.000 0.725 0.500
Pt3 Pt 0.747 0.483 0.500
Pt4 Pt 0.000 0.882 0.254
Pt5 Pt 0.753 0.517 0.000
Pt6 Pt 0.748 0.986 0.000
Pt7 Pt 0.500 0.118 0.246
Pt8 Pt 0.248 0.014 0.500
Si1 Si 0.000 0.746 0.000
Pt9 Pt 0.253 0.483 0.500
As2 As 0.500 0.275 0.000
Pt10 Pt 0.252 0.986 0.000
La3 La 0.000 0.270 0.752
La4 La 0.500 0.730 0.748
Si2 Si 0.500 0.254 0.500
Pt11 Pt 0.247 0.517 0.000
Pt12 Pt 0.000 0.882 0.746

***

[12]
# YFe3Re PBE relaxed
# Total magnetic moment   4.35 μB/f.u.
# Energy relative to the elements   0.81 eV per atom
# Energy above the most stable polymorph in this dataset   0.00 eV per formula unit
# Total energy   -40.23 eV/cell
data_YFe3Re
_chemical_formula_sum 'Y1 Fe3 Re1'
_space_group_name_H-M_alt 'P 1'
_space_group_IT_number 1
_cell_length_a 4.534
_cell_length_b 4.534
_cell_length_c 4.534
_cell_angle_alpha 90.00
_cell_angle_beta 90.00
_cell_angle_gamma 90.00
loop_
_space_group_symop_operation_xyz
'x,y,z'
loop_
_atom_site_label
_atom_site_type_symbol
_atom_site_fract_x
_atom_site_fract_y
_atom_site_fract_z
Re1 Re 0.000 0.000 0.000
Fe1 Fe 0.000 0.000 0.500
Fe2 Fe 0.000 0.500 0.000
Y1 Y 0.500 0.500 0.500
Fe3 Fe 0.500 0.000 0.000